Ho2HfGa3Pt4: optimized geometry, PBE-GGA.

```
data_Ho2HfGa3Pt4
_space_group_name_H-M_alt 'P 1'
_space_group_IT_number 1
_cell_length_a 4.101
_cell_length_b 4.101
_cell_length_c 11.418
_cell_angle_alpha 90.00
_cell_angle_beta 90.00
_cell_angle_gamma 90.00
loop_
_space_group_symop_operation_xyz
'x,y,z'
loop_
_atom_site_label
_atom_site_type_symbol
_atom_site_fract_x
_atom_site_fract_y
_atom_site_fract_z
Ho1 Ho 0.000 0.500 0.234
Ho2 Ho 0.500 0.000 0.766
Hf1 Hf 0.000 0.000 0.500
Ga1 Ga 0.000 0.500 0.868
Ga2 Ga 0.500 0.000 0.132
Ga3 Ga 0.500 0.500 0.500
Pt1 Pt 0.000 0.000 0.000
Pt2 Pt 0.000 0.500 0.651
Pt3 Pt 0.500 0.000 0.349
Pt4 Pt 0.500 0.500 0.000
```

Calculated values
Energy of formation: -0.97 eV/atom
Space-group type: P-4m2, No. 115
Final energy: -0.228 Ha/atom
Mass density: 12.95 g/cm3